Here is a relaxed RuCl3 crystal from the Alexandria database. Energies are from PBE-GGA.

Values from the calculation:
Fermi-level density of states	4.957	states/eV per cell
uncorrected formation energy	0.85	eV per atom

Unit cell a=4.855 b=4.856 c=3.377 alpha=90.00 beta=90.00 gamma=89.57
Fractional positions:
Ru (0.000, 0.000, 0.000)
Cl (0.000, 0.500, 0.500)
Cl (0.500, 0.000, 0.500)
Cl (0.500, 0.500, 0.000)

***

Here is a relaxed Ac2Sm2In3 crystal from the Alexandria database. Energies are from PBE-GGA.

Values from the calculation:
Fermi-level density of states	7.402	states/eV per cell
formation enthalpy at 0 K	-292	meV per atom

Unit cell a=4.725 b=3.673 c=13.236 alpha=90.00 beta=79.72 gamma=90.00
Fractional positions:
Ac (0.576, 0.500, 0.849)
Ac (0.424, 0.500, 0.151)
Sm (0.707, 0.500, 0.587)
Sm (0.293, 0.500, 0.413)
In (0.842, 0.000, 0.316)
In (0.000, 0.000, 0.000)
In (0.158, 0.000, 0.684)

***

Here is a relaxed Tb6GaTe3Se2 crystal from the Alexandria database. Energies are from PBE-GGA.

Values from the calculation:
Fermi-level density of states	5.091	states/eV per cell
uncorrected formation energy	-1.41	eV per atom

Unit cell a=7.310 b=7.310 c=7.508 alpha=99.33 beta=99.33 gamma=119.89
Fractional positions:
Tb (0.927, 0.601, 0.779)
Tb (0.750, 0.750, 0.223)
Tb (0.073, 0.399, 0.221)
Tb (0.601, 0.927, 0.779)
Tb (0.250, 0.250, 0.777)
Tb (0.399, 0.073, 0.221)
Ga (0.000, 0.000, 0.000)
Te (0.170, 0.830, 0.500)
Te (0.830, 0.170, 0.500)
Te (0.500, 0.500, 0.500)
Se (0.334, 0.666, 0.000)
Se (0.666, 0.334, 0.000)

***

Here is a relaxed Li2TlHg2 crystal from the Alexandria database. Energies are from PBE-GGA.

Values from the calculation:
Fermi-level density of states	3.334	states/eV per cell
formation enthalpy at 0 K	-259	meV per atom

Unit cell a=8.196 b=8.196 c=3.221 alpha=90.00 beta=90.00 gamma=90.00
Fractional positions:
Tl (0.000, 0.000, 0.000)
Tl (0.500, 0.500, 0.000)
Hg (0.366, 0.866, 0.000)
Hg (0.866, 0.634, 0.000)
Hg (0.634, 0.134, 0.000)
Hg (0.134, 0.366, 0.000)
Li (0.162, 0.662, 0.500)
Li (0.662, 0.838, 0.500)
Li (0.838, 0.338, 0.500)
Li (0.338, 0.162, 0.500)

***

Ρ (Mg/m³)
4.33; 8.08; 7.89; 9.51